{"formula": "TlCoNiTe3", "functional": "PBE-GGA", "state": "relaxed", "lattice_angstrom": [[1.911, -6.784, 0.000], [1.911, 6.784, 0.000], [0.000, 0.000, 10.803]], "species": ["Tl", "Tl", "Co", "Co", "Ni", "Ni", "Te", "Te", "Te", "Te", "Te", "Te"], "frac_coords": [[0.239, 0.761, 0.750], [0.761, 0.239, 0.250], [0.500, 0.500, 0.000], [0.500, 0.500, 0.500], [0.109, 0.891, 0.250], [0.891, 0.109, 0.750], [0.124, 0.876, 0.019], [0.124, 0.876, 0.481], [0.484, 0.516, 0.250], [0.516, 0.484, 0.750], [0.876, 0.124, 0.519], [0.876, 0.124, 0.981]], "sg": "No. 63", "final_energy_ha_per_atom": -0.15446}

{"formula": "GaAg", "functional": "PBE-GGA", "state": "relaxed", "lattice_angstrom": [[3.309, 0.000, 0.000], [0.000, 3.309, 0.000], [0.000, 0.000, 3.309]], "species": ["Ga", "Ag"], "frac_coords": [[0.000, 0.000, 0.000], [0.500, 0.500, 0.500]], "sg": "No. 221", "final_energy_ha_per_atom": -0.10582}

{"formula": "Fe2CuTe4", "functional": "PBE-GGA", "state": "relaxed", "lattice_angstrom": [[7.722, 0.000, 0.000], [0.000, 7.722, 0.000], [0.000, 0.000, 10.767]], "species": ["Fe", "Fe", "Fe", "Fe", "Fe", "Fe", "Fe", "Fe", "Cu", "Cu", "Cu", "Cu", "Te", "Te", "Te", "Te", "Te", "Te", "Te", "Te", "Te", "Te", "Te", "Te", "Te", "Te", "Te", "Te"], "frac_coords": [[0.000, 0.236, 0.000], [0.000, 0.764, 0.500], [0.236, 0.000, 0.750], [0.260, 0.260, 0.375], [0.260, 0.740, 0.125], [0.740, 0.260, 0.625], [0.740, 0.740, 0.875], [0.764, 0.000, 0.250], [0.241, 0.500, 0.750], [0.500, 0.241, 0.000], [0.500, 0.759, 0.500], [0.759, 0.500, 0.250], [0.002, 0.240, 0.757], [0.002, 0.760, 0.743], [0.237, 0.475, 0.995], [0.237, 0.525, 0.505], [0.240, 0.002, 0.993], [0.240, 0.998, 0.507], [0.475, 0.237, 0.755], [0.475, 0.763, 0.745], [0.525, 0.237, 0.245], [0.525, 0.763, 0.255], [0.760, 0.002, 0.007], [0.760, 0.998, 0.493], [0.763, 0.475, 0.005], [0.763, 0.525, 0.495], [0.998, 0.240, 0.243], [0.998, 0.760, 0.257]], "sg": "No. 91", "final_energy_ha_per_atom": -0.17049}

{"formula": "MgCdNiSe3", "functional": "PBE-GGA", "state": "relaxed", "lattice_angstrom": [[1.803, -6.942, 0.000], [1.803, 6.942, 0.000], [0.000, 0.000, 10.712]], "species": ["Mg", "Mg", "Cd", "Cd", "Ni", "Ni", "Se", "Se", "Se", "Se", "Se", "Se"], "frac_coords": [[0.181, 0.819, 0.750], [0.819, 0.181, 0.250], [0.460, 0.540, 0.750], [0.540, 0.460, 0.250], [0.000, 0.000, 0.000], [0.000, 0.000, 0.500], [0.184, 0.816, 0.250], [0.398, 0.602, 0.065], [0.398, 0.602, 0.435], [0.602, 0.398, 0.565], [0.602, 0.398, 0.935], [0.816, 0.184, 0.750]], "sg": "No. 63", "final_energy_ha_per_atom": -0.12760}

{"formula": "SrTePtO", "functional": "PBE-GGA", "state": "relaxed", "lattice_angstrom": [[4.004, 0.000, 0.000], [0.000, 4.004, 0.000], [0.000, 0.000, 12.060]], "species": ["Sr", "Sr", "Te", "Te", "Pt", "Pt", "O", "O"], "frac_coords": [[0.250, 0.250, 0.099], [0.750, 0.750, 0.901], [0.250, 0.250, 0.389], [0.750, 0.750, 0.611], [0.250, 0.250, 0.609], [0.750, 0.750, 0.391], [0.250, 0.750, 0.000], [0.750, 0.250, 0.000]], "sg": "No. 129", "final_energy_ha_per_atom": -0.18655}

{"formula": "LaAlNiPd", "functional": "PBE-GGA", "state": "relaxed", "lattice_angstrom": [[4.333, 0.000, 0.000], [-2.167, 3.753, 0.000], [0.000, 0.000, 9.746]], "species": ["La", "La", "Al", "Al", "Ni", "Ni", "Pd", "Pd"], "frac_coords": [[0.000, 0.000, 0.000], [0.333, 0.667, 0.500], [0.667, 0.333, 0.241], [0.667, 0.333, 0.759], [0.333, 0.667, 0.194], [0.333, 0.667, 0.806], [0.000, 0.000, 0.310], [0.000, 0.000, 0.690]], "sg": "No. 187", "final_energy_ha_per_atom": -0.20395}

{"formula": "CsSnAu", "functional": "PBE-GGA", "state": "relaxed", "lattice_angstrom": [[7.697, 0.000, 0.000], [0.000, 7.697, 0.000], [0.000, 0.000, 7.697]], "species": ["Cs", "Cs", "Cs", "Cs", "Sn", "Sn", "Sn", "Sn", "Au", "Au", "Au", "Au"], "frac_coords": [[0.000, 0.000, 0.000], [0.000, 0.500, 0.500], [0.500, 0.000, 0.500], [0.500, 0.500, 0.000], [0.000, 0.000, 0.500], [0.000, 0.500, 0.000], [0.500, 0.000, 0.000], [0.500, 0.500, 0.500], [0.250, 0.250, 0.250], [0.250, 0.750, 0.750], [0.750, 0.250, 0.750], [0.750, 0.750, 0.250]], "sg": "No. 216", "final_energy_ha_per_atom": -0.09077}

{"formula": "TbAgNO", "functional": "PBE-GGA", "state": "relaxed", "lattice_angstrom": [[4.924, 0.000, 0.000], [0.000, 4.525, 0.000], [0.000, 0.000, 4.940]], "species": ["Tb", "Tb", "Ag", "Ag", "N", "N", "O", "O"], "frac_coords": [[0.250, 0.000, 0.249], [0.750, 0.000, 0.751], [0.250, 0.500, 0.746], [0.750, 0.500, 0.254], [0.250, 0.000, 0.747], [0.750, 0.000, 0.253], [0.250, 0.500, 0.245], [0.750, 0.500, 0.755]], "sg": "No. 51", "final_energy_ha_per_atom": -0.22955}

{"formula": "Sr2NbIrN2O4", "functional": "PBE-GGA", "state": "relaxed", "lattice_angstrom": [[5.662, 0.000, 0.000], [-0.007, 5.665, 0.000], [-0.014, -0.031, 7.974]], "species": ["Sr", "Sr", "Sr", "Sr", "Nb", "Nb", "Ir", "Ir", "N", "N", "N", "N", "O", "O", "O", "O", "O", "O", "O", "O"], "frac_coords": [[0.000, 0.000, 0.000], [0.014, 0.000, 0.501], [0.510, 0.507, 0.002], [0.528, 0.510, 0.501], [0.026, 0.515, 0.749], [0.509, 0.022, 0.248], [0.011, 0.486, 0.250], [0.502, 0.999, 0.764], [0.250, 0.252, 0.238], [0.277, 0.737, 0.737], [0.509, 0.982, 0.998], [0.755, 0.268, 0.238], [0.003, 0.458, 0.502], [0.011, 0.543, 0.004], [0.227, 0.224, 0.773], [0.272, 0.737, 0.275], [0.508, 0.038, 0.511], [0.732, 0.283, 0.772], [0.777, 0.761, 0.274], [0.777, 0.777, 0.734]], "sg": "No. 1", "final_energy_ha_per_atom": -0.27659}

{"formula": "DyYTe2", "functional": "PBE-GGA", "state": "relaxed", "lattice_angstrom": [[4.355, 0.000, 0.000], [0.000, 4.355, 0.000], [0.000, 0.000, 6.166]], "species": ["Dy", "Y", "Te", "Te"], "frac_coords": [[0.000, 0.000, 0.000], [0.500, 0.500, 0.500], [0.000, 0.000, 0.500], [0.500, 0.500, 0.000]], "sg": "No. 123", "final_energy_ha_per_atom": -0.20692}

{"formula": "LaNdAu2O4", "functional": "PBE-GGA", "state": "relaxed", "lattice_angstrom": [[3.805, 0.000, 0.000], [-1.903, 3.295, 0.000], [0.000, 0.000, 12.000]], "species": ["La", "Nd", "Au", "Au", "O", "O", "O", "O"], "frac_coords": [[0.000, 0.000, 0.000], [0.000, 0.000, 0.500], [0.333, 0.667, 0.252], [0.667, 0.333, 0.748], [0.333, 0.667, 0.083], [0.333, 0.667, 0.420], [0.667, 0.333, 0.580], [0.667, 0.333, 0.917]], "sg": "No. 164", "final_energy_ha_per_atom": -0.24507}

{"formula": "TbInFeS3", "functional": "PBE-GGA", "state": "relaxed", "lattice_angstrom": [[1.973, -7.067, 0.000], [1.973, 7.067, 0.000], [0.000, 0.000, 10.441]], "species": ["Tb", "Tb", "In", "In", "Fe", "Fe", "S", "S", "S", "S", "S", "S"], "frac_coords": [[0.000, 0.000, 0.000], [0.000, 0.000, 0.500], [0.248, 0.752, 0.750], [0.752, 0.248, 0.250], [0.472, 0.528, 0.250], [0.528, 0.472, 0.750], [0.064, 0.936, 0.250], [0.376, 0.624, 0.074], [0.376, 0.624, 0.426], [0.624, 0.376, 0.574], [0.624, 0.376, 0.926], [0.936, 0.064, 0.750]], "sg": "No. 63", "final_energy_ha_per_atom": -0.20815}

{"formula": "BaTmCuTe2S", "functional": "PBE-GGA", "state": "relaxed", "lattice_angstrom": [[2.122, -7.448, 0.000], [2.122, 7.448, 0.000], [0.000, 0.000, 10.571]], "species": ["Ba", "Ba", "Tm", "Tm", "Cu", "Cu", "Te", "Te", "Te", "Te", "S", "S"], "frac_coords": [[0.224, 0.776, 0.750], [0.776, 0.224, 0.250], [0.500, 0.500, 0.000], [0.500, 0.500, 0.500], [0.023, 0.977, 0.250], [0.977, 0.023, 0.750], [0.139, 0.861, 0.060], [0.139, 0.861, 0.440], [0.861, 0.139, 0.560], [0.861, 0.139, 0.940], [0.442, 0.558, 0.250], [0.558, 0.442, 0.750]], "sg": "No. 63", "final_energy_ha_per_atom": -0.17606}

{"formula": "Mo4PPbN2", "functional": "PBE-GGA", "state": "relaxed", "lattice_angstrom": [[3.327, 0.000, 0.000], [-1.663, 2.881, 0.000], [0.000, 0.000, 12.156]], "species": ["Mo", "Mo", "Mo", "Mo", "P", "Pb", "N", "N"], "frac_coords": [[0.000, 0.000, 0.128], [0.000, 0.000, 0.872], [0.333, 0.667, 0.295], [0.333, 0.667, 0.705], [0.333, 0.667, 0.000], [0.000, 0.000, 0.500], [0.667, 0.333, 0.252], [0.667, 0.333, 0.748]], "sg": "No. 187", "final_energy_ha_per_atom": -0.32081}

{"formula": "In2NiGe", "functional": "PBE-GGA", "state": "relaxed", "lattice_angstrom": [[6.802, 0.000, 0.000], [0.000, 6.802, 0.000], [0.000, 0.000, 6.802]], "species": ["In", "In", "In", "In", "In", "In", "In", "In", "Ni", "Ni", "Ni", "Ni", "Ge", "Ge", "Ge", "Ge"], "frac_coords": [[0.000, 0.000, 0.000], [0.000, 0.500, 0.500], [0.250, 0.250, 0.250], [0.250, 0.750, 0.750], [0.500, 0.000, 0.500], [0.500, 0.500, 0.000], [0.750, 0.250, 0.750], [0.750, 0.750, 0.250], [0.000, 0.000, 0.500], [0.000, 0.500, 0.000], [0.500, 0.000, 0.000], [0.500, 0.500, 0.500], [0.250, 0.250, 0.750], [0.250, 0.750, 0.250], [0.750, 0.250, 0.250], [0.750, 0.750, 0.750]], "sg": "No. 216", "final_energy_ha_per_atom": -0.13270}

{"formula": "Hf2Ta4S3N3", "functional": "PBE-GGA", "state": "relaxed", "lattice_angstrom": [[4.956, -2.878, 0.000], [4.956, 2.878, 0.000], [-3.288, 0.000, 11.612]], "species": ["Hf", "Hf", "Hf", "Hf", "Ta", "Ta", "Ta", "Ta", "Ta", "Ta", "Ta", "Ta", "S", "S", "S", "S", "S", "S", "N", "N", "N", "N", "N", "N"], "frac_coords": [[0.033, 0.851, 0.602], [0.149, 0.967, 0.898], [0.851, 0.033, 0.102], [0.967, 0.149, 0.398], [0.202, 0.382, 0.091], [0.322, 0.449, 0.407], [0.382, 0.202, 0.591], [0.449, 0.322, 0.907], [0.551, 0.678, 0.093], [0.618, 0.798, 0.409], [0.678, 0.551, 0.593], [0.798, 0.618, 0.909], [0.079, 0.266, 0.746], [0.266, 0.079, 0.246], [0.431, 0.569, 0.750], [0.569, 0.431, 0.250], [0.734, 0.921, 0.754], [0.921, 0.734, 0.254], [0.000, 0.500, 0.500], [0.152, 0.697, 0.000], [0.303, 0.848, 0.500], [0.500, 0.000, 0.000], [0.697, 0.152, 0.500], [0.848, 0.303, 0.000]], "sg": "No. 15", "final_energy_ha_per_atom": -0.35669}

{"formula": "AlMoAu", "functional": "PBE-GGA", "state": "relaxed", "lattice_angstrom": [[6.180, 0.000, 0.000], [0.000, 6.180, 0.000], [0.000, 0.000, 6.180]], "species": ["Al", "Al", "Al", "Al", "Mo", "Mo", "Mo", "Mo", "Au", "Au", "Au", "Au"], "frac_coords": [[0.000, 0.000, 0.000], [0.000, 0.500, 0.500], [0.500, 0.000, 0.500], [0.500, 0.500, 0.000], [0.250, 0.250, 0.250], [0.250, 0.750, 0.750], [0.750, 0.250, 0.750], [0.750, 0.750, 0.250], [0.000, 0.000, 0.500], [0.000, 0.500, 0.000], [0.500, 0.000, 0.000], [0.500, 0.500, 0.500]], "sg": "No. 216", "final_energy_ha_per_atom": -0.19715}

{"formula": "PrNdI2BrN", "functional": "PBE-GGA", "state": "relaxed", "lattice_angstrom": [[9.394, -2.067, 0.000], [9.394, 2.067, 0.000], [-6.495, 0.000, 10.185]], "species": ["Pr", "Pr", "Nd", "Nd", "I", "I", "I", "I", "Br", "Br", "N", "N"], "frac_coords": [[0.078, 0.078, 0.461], [0.922, 0.922, 0.539], [0.371, 0.371, 0.222], [0.629, 0.629, 0.778], [0.164, 0.164, 0.018], [0.450, 0.450, 0.763], [0.550, 0.550, 0.237], [0.836, 0.836, 0.982], [0.288, 0.288, 0.382], [0.712, 0.712, 0.618], [0.070, 0.070, 0.651], [0.930, 0.930, 0.349]], "sg": "No. 12", "final_energy_ha_per_atom": -0.19618}

{"formula": "Zn6CoIr", "functional": "PBE-GGA", "state": "relaxed", "lattice_angstrom": [[4.262, 0.000, 0.000], [0.000, 5.290, 0.000], [0.000, 0.000, 4.798]], "species": ["Zn", "Zn", "Zn", "Zn", "Zn", "Zn", "Co", "Ir"], "frac_coords": [[0.000, 0.000, 0.000], [0.000, 0.248, 0.471], [0.000, 0.752, 0.471], [0.500, 0.241, 0.794], [0.500, 0.500, 0.289], [0.500, 0.759, 0.794], [0.500, 0.000, 0.301], [0.000, 0.500, 0.967]], "sg": "No. 25", "ef_kj_per_mol_atoms": -12.1}

{"formula": "RbAlCd", "functional": "PBE-GGA", "state": "relaxed", "lattice_angstrom": [[7.667, 0.000, 0.000], [0.000, 7.667, 0.000], [0.000, 0.000, 7.667]], "species": ["Rb", "Rb", "Rb", "Rb", "Al", "Al", "Al", "Al", "Cd", "Cd", "Cd", "Cd"], "frac_coords": [[0.000, 0.000, 0.000], [0.000, 0.500, 0.500], [0.500, 0.000, 0.500], [0.500, 0.500, 0.000], [0.250, 0.250, 0.750], [0.250, 0.750, 0.250], [0.750, 0.250, 0.250], [0.750, 0.750, 0.750], [0.000, 0.000, 0.500], [0.000, 0.500, 0.000], [0.500, 0.000, 0.000], [0.500, 0.500, 0.500]], "sg": "No. 216", "final_energy_ha_per_atom": -0.05090}

{"formula": "NpBeCo", "functional": "PBE-GGA", "state": "relaxed", "lattice_angstrom": [[5.792, 0.000, 0.000], [0.000, 5.792, 0.000], [0.000, 0.000, 5.792]], "species": ["Np", "Np", "Np", "Np", "Be", "Be", "Be", "Be", "Co", "Co", "Co", "Co"], "frac_coords": [[0.000, 0.000, 0.000], [0.000, 0.500, 0.500], [0.500, 0.000, 0.500], [0.500, 0.500, 0.000], [0.000, 0.000, 0.500], [0.000, 0.500, 0.000], [0.500, 0.000, 0.000], [0.500, 0.500, 0.500], [0.250, 0.250, 0.250], [0.250, 0.750, 0.750], [0.750, 0.250, 0.750], [0.750, 0.750, 0.250]], "sg": "No. 216", "final_energy_ha_per_atom": -0.27309}

{"formula": "BeZnSO", "functional": "PBE-GGA", "state": "relaxed", "lattice_angstrom": [[3.405, 0.000, 0.000], [0.000, 3.405, 0.000], [0.000, 0.000, 9.004]], "species": ["Be", "Be", "Zn", "Zn", "S", "S", "O", "O"], "frac_coords": [[0.250, 0.250, 0.009], [0.750, 0.750, 0.991], [0.250, 0.250, 0.612], [0.750, 0.750, 0.388], [0.250, 0.250, 0.340], [0.750, 0.750, 0.660], [0.250, 0.750, 0.000], [0.750, 0.250, 0.000]], "sg": "No. 129", "final_energy_ha_per_atom": -0.17670}

{"formula": "TmNbH4", "functional": "PBE-GGA", "state": "relaxed", "lattice_angstrom": [[3.426, 0.000, 0.000], [0.000, 3.426, 0.000], [0.000, 0.000, 4.635]], "species": ["Tm", "Nb", "H", "H", "H", "H"], "frac_coords": [[0.000, 0.000, 0.000], [0.500, 0.500, 0.500], [0.000, 0.500, 0.281], [0.000, 0.500, 0.719], [0.500, 0.000, 0.281], [0.500, 0.000, 0.719]], "sg": "No. 123", "final_energy_ha_per_atom": -0.18770}